(1)
A relaxed structure of Pu3Ge2Ru. Source: the Alexandria database, functional PBE.

ΔH_f (0 K) = -0.2948 eV per atom
ΔE to the lowest computed polymorph = 96 meV/atom

Geometry as CIF:
```
data_Pu3Ge2Ru
_space_group_name_H-M_alt 'P 1'
_space_group_IT_number 1
_space_group_name_Hall 'P 1'
_cell_length_a 8.7691
_cell_length_b 8.7691
_cell_length_c 8.7691
_cell_angle_alpha 141.93
_cell_angle_beta 55.63
_cell_angle_gamma 141.01
loop_
_atom_site_label
_atom_site_type_symbol
_atom_site_fract_x
_atom_site_fract_y
_atom_site_fract_z
Pu1 Pu 0.1806 0.2142 0.3949
Pu2 Pu 0.2500 0.2500 0.0000
Pu3 Pu 0.3194 0.7142 0.0336
Pu4 Pu 0.6806 0.2858 0.9664
Pu5 Pu 0.7500 0.7500 0.0000
Pu6 Pu 0.8194 0.7858 0.6051
Ge1 Ge 0.1215 0.6941 0.8155
Ge2 Ge 0.3785 0.1941 0.5726
Ge3 Ge 0.6215 0.8059 0.4274
Ge4 Ge 0.8785 0.3059 0.1845
Ru1 Ru 0.2500 0.7500 0.5000
Ru2 Ru 0.7500 0.2500 0.5000
```

(2)
A relaxed structure of Pu5GeRu3. Source: the Alexandria database, functional PBE.

ΔH_f (0 K) = 0.0704 eV per atom

Geometry as CIF:
```
data_Pu5GeRu3
_space_group_name_H-M_alt 'P 1'
_space_group_IT_number 1
_space_group_name_Hall 'P 1'
_cell_length_a 7.0189
_cell_length_b 7.0189
_cell_length_c 9.1646
_cell_angle_alpha 101.67
_cell_angle_beta 101.67
_cell_angle_gamma 72.66
loop_
_atom_site_label
_atom_site_type_symbol
_atom_site_fract_x
_atom_site_fract_y
_atom_site_fract_z
Pu1 Pu 0.0053 0.0053 0.6494
Pu2 Pu 0.1074 0.5556 0.3471
Pu3 Pu 0.1935 0.8065 0.0000
Pu4 Pu 0.2518 0.2518 0.9261
Pu5 Pu 0.4444 0.8926 0.6529
Pu6 Pu 0.5556 0.1074 0.3471
Pu7 Pu 0.7482 0.7482 0.0739
Pu8 Pu 0.8065 0.1935 0.0000
Pu9 Pu 0.8926 0.4444 0.6529
Pu10 Pu 0.9947 0.9947 0.3506
Ge1 Ge 0.4315 0.4315 0.7278
Ge2 Ge 0.5685 0.5685 0.2722
Ru1 Ru 0.1573 0.1573 0.1909
Ru2 Ru 0.2451 0.2451 0.5216
Ru3 Ru 0.5000 0.5000 0.0000
Ru4 Ru 0.5000 0.5000 0.5000
Ru5 Ru 0.7549 0.7549 0.4784
Ru6 Ru 0.8427 0.8427 0.8091
```

(3)
A relaxed structure of Pu8GeRu6. Source: the Alexandria database, functional PBE.

ΔH_f (0 K) = -0.0089 eV per atom

Geometry as CIF:
```
data_Pu8GeRu6
_space_group_name_H-M_alt 'P 1'
_space_group_IT_number 1
_space_group_name_Hall 'P 1'
_cell_length_a 10.0108
_cell_length_b 10.0108
_cell_length_c 10.0108
_cell_angle_alpha 33.99
_cell_angle_beta 33.99
_cell_angle_gamma 33.99
loop_
_atom_site_label
_atom_site_type_symbol
_atom_site_fract_x
_atom_site_fract_y
_atom_site_fract_z
Pu1 Pu 0.0254 0.6926 0.3563
Pu2 Pu 0.1396 0.1396 0.1396
Pu3 Pu 0.3074 0.6437 0.9746
Pu4 Pu 0.3563 0.0254 0.6926
Pu5 Pu 0.6437 0.9746 0.3074
Pu6 Pu 0.6926 0.3563 0.0254
Pu7 Pu 0.8604 0.8604 0.8604
Pu8 Pu 0.9746 0.3074 0.6437
Ge1 Ge 0.5000 0.5000 0.5000
Ru1 Ru 0.0928 0.5682 0.6364
Ru2 Ru 0.3636 0.9072 0.4318
Ru3 Ru 0.4318 0.3636 0.9072
Ru4 Ru 0.5682 0.6364 0.0928
Ru5 Ru 0.6364 0.0928 0.5682
Ru6 Ru 0.9072 0.4318 0.3636
```

(4)
A relaxed structure of Pu2GeRu2. Source: the Alexandria database, functional PBE.

ΔH_f (0 K) = -0.2946 eV per atom

Geometry as CIF:
```
data_Pu2GeRu2
_space_group_name_H-M_alt 'P 1'
_space_group_IT_number 1
_space_group_name_Hall 'P 1'
_cell_length_a 5.3767
_cell_length_b 5.3767
_cell_length_c 5.3767
_cell_angle_alpha 133.40
_cell_angle_beta 115.69
_cell_angle_gamma 83.07
loop_
_atom_site_label
_atom_site_type_symbol
_atom_site_fract_x
_atom_site_fract_y
_atom_site_fract_z
Pu1 Pu 0.2072 0.2072 0.0000
Pu2 Pu 0.7928 0.7928 0.0000
Ge1 Ge 0.5000 0.0000 0.5000
Ru1 Ru 0.2394 0.5000 0.7394
Ru2 Ru 0.7606 0.5000 0.2606
```

(5)
A relaxed structure of Pu3Ge2Ru2. Source: the Alexandria database, functional PBE.

ΔH_f (0 K) = -0.4261 eV per atom

Geometry as CIF:
```
data_Pu3Ge2Ru2
_space_group_name_H-M_alt 'P 1'
_space_group_IT_number 1
_space_group_name_Hall 'P 1'
_cell_length_a 5.5114
_cell_length_b 7.8073
_cell_length_c 13.3499
_cell_angle_alpha 90.00
_cell_angle_beta 90.00
_cell_angle_gamma 90.00
loop_
_atom_site_label
_atom_site_type_symbol
_atom_site_fract_x
_atom_site_fract_y
_atom_site_fract_z
Pu1 Pu 0.1186 0.2307 0.2500
Pu2 Pu 0.1186 0.2693 0.7500
Pu3 Pu 0.3435 0.5998 0.0961
Pu4 Pu 0.3435 0.5998 0.4039
Pu5 Pu 0.3435 0.9002 0.5961
Pu6 Pu 0.3435 0.9002 0.9039
Pu7 Pu 0.6565 0.0998 0.0961
Pu8 Pu 0.6565 0.0998 0.4039
Pu9 Pu 0.6565 0.4002 0.5961
Pu10 Pu 0.6565 0.4002 0.9039
Pu11 Pu 0.8814 0.7307 0.2500
Pu12 Pu 0.8814 0.7693 0.7500
Ge1 Ge 0.1527 0.2500 0.0000
Ge2 Ge 0.1527 0.2500 0.5000
Ge3 Ge 0.3881 0.6139 0.7500
Ge4 Ge 0.3881 0.8861 0.2500
Ge5 Ge 0.6119 0.1139 0.7500
Ge6 Ge 0.6119 0.3861 0.2500
Ge7 Ge 0.8473 0.7500 0.0000
Ge8 Ge 0.8473 0.7500 0.5000
Ru1 Ru 0.1379 0.5378 0.5934
Ru2 Ru 0.1379 0.5378 0.9066
Ru3 Ru 0.1379 0.9622 0.0934
Ru4 Ru 0.1379 0.9622 0.4066
Ru5 Ru 0.8621 0.0378 0.5934
Ru6 Ru 0.8621 0.0378 0.9066
Ru7 Ru 0.8621 0.4622 0.0934
Ru8 Ru 0.8621 0.4622 0.4066
```

(6)
A relaxed structure of Pu3GeRu2. Source: the Alexandria database, functional PBE.

ΔH_f (0 K) = -0.1010 eV per atom
ΔE to the lowest computed polymorph = 66 meV/atom

Geometry as CIF:
```
data_Pu3GeRu2
_space_group_name_H-M_alt 'P 1'
_space_group_IT_number 1
_space_group_name_Hall 'P 1'
_cell_length_a 8.8246
_cell_length_b 8.8246
_cell_length_c 6.3829
_cell_angle_alpha 105.06
_cell_angle_beta 105.06
_cell_angle_gamma 28.29
loop_
_atom_site_label
_atom_site_type_symbol
_atom_site_fract_x
_atom_site_fract_y
_atom_site_fract_z
Pu1 Pu 0.0533 0.0533 0.4142
Pu2 Pu 0.2628 0.2628 0.8411
Pu3 Pu 0.3956 0.3956 0.3455
Pu4 Pu 0.6044 0.6044 0.6545
Pu5 Pu 0.7372 0.7372 0.1589
Pu6 Pu 0.9467 0.9467 0.5858
Ge1 Ge 0.0968 0.0968 0.9799
Ge2 Ge 0.9032 0.9032 0.0201
Ru1 Ru 0.2011 0.2011 0.3818
Ru2 Ru 0.4302 0.4302 0.8274
Ru3 Ru 0.5698 0.5698 0.1726
Ru4 Ru 0.7989 0.7989 0.6182
```

Look up the ΔH_f (0 K) of the fifth one.
-0.4261 eV per atom